[1]
## Li2Ir5O12 (PBE)

Data for a relaxed Li2Ir5O12 crystal.

Results
uncorrected formation energy = -60.6 kJ/mol of atoms
symmetry = C2/m

Structure (POSCAR):
```
Li2Ir5O12
1.0
-3.061 0.891 -4.956
5.919 -1.196 -0.368
-3.232 -6.107 0.898
Ir O Li
5 12 2
Direct
0.362 0.723 0.648
0.253 0.507 0.022
0.638 0.277 0.352
0.747 0.493 0.978
0.000 0.000 0.500
0.068 0.136 0.818
0.895 0.258 0.497
0.451 0.902 0.165
0.081 0.614 0.851
0.363 0.258 0.497
0.919 0.386 0.149
0.932 0.864 0.182
0.637 0.742 0.503
0.549 0.098 0.835
0.533 0.614 0.851
0.467 0.386 0.149
0.105 0.742 0.503
0.230 0.000 0.000
0.770 0.000 0.000
```

=====

[2]
## Na2Tl5HgPb (PBE)

Data for a relaxed Na2Tl5HgPb crystal.

Results
DFT formation energy = -0.08 eV/atom
symmetry = Cmc2_1

Structure (POSCAR):
```
Na2Tl5HgPb
1.0
-4.496 -0.070 -1.594
4.021 -5.442 -3.964
-3.447 -9.946 10.158
Tl Na Pb Hg
10 4 2 2
Direct
0.748 0.496 0.764
0.083 0.166 0.090
0.586 0.172 0.262
0.584 0.168 0.589
0.416 0.832 0.089
0.917 0.834 0.590
0.414 0.828 0.762
0.251 0.502 0.589
0.749 0.498 0.089
0.252 0.504 0.264
0.915 0.830 0.257
0.081 0.162 0.428
0.085 0.170 0.757
0.919 0.838 0.928
0.753 0.505 0.426
0.247 0.495 0.926
0.579 0.158 0.918
0.421 0.842 0.418
```

=====

[3]
## RbTa2Cu (PBE)

Data for a relaxed RbTa2Cu crystal.

Results
excess energy over the best structure of this formula in the dataset = 102 meV/atom
DFT formation energy = 1.84 eV/atom
symmetry = Fm-3m

Structure (POSCAR):
```
RbTa2Cu
1.0
0.000 3.339 3.339
3.339 0.000 3.339
3.339 3.339 0.000
Ta Cu Rb
2 1 1
Direct
0.250 0.250 0.250
0.750 0.750 0.750
0.000 0.000 0.000
0.500 0.500 0.500
```

=====

[4]
## CsLi2Pt2 (PBE)

Data for a relaxed CsLi2Pt2 crystal.

Results
excess energy over the best structure of this formula in the dataset = 0 meV/atom
DFT formation energy = -0.10 eV/atom
symmetry = P4/mbm

Structure (POSCAR):
```
CsLi2Pt2
1.0
-7.898 2.093 -0.238
-2.089 -7.668 1.911
0.098 0.704 2.933
Pt Li Cs
4 4 2
Direct
0.634 0.866 0.500
0.134 0.634 0.500
0.866 0.366 0.500
0.366 0.134 0.500
0.862 0.638 0.000
0.138 0.362 0.000
0.362 0.862 0.000
0.638 0.138 0.000
0.500 0.500 0.000
0.000 0.000 0.000
```

=====

[5]
## Co2SiTe (PBE)

Data for a relaxed Co2SiTe crystal.

Results
excess energy over the best structure of this formula in the dataset = 304 meV/atom
uncorrected formation energy = 25.1 kJ/mol of atoms
symmetry = Fm-3m

Structure (POSCAR):
```
Co2SiTe
1.0
-0.566 -1.236 4.049
-1.570 2.744 2.871
-3.948 -0.542 1.535
Co Te Si
2 1 1
Direct
0.250 0.250 0.250
0.750 0.750 0.750
0.500 0.500 0.500
0.000 0.000 0.000
```

=====

[6]
## La2PrNd5Tm (PBE)

Data for a relaxed La2PrNd5Tm crystal.

Results
DFT formation energy = 0.25 eV/atom
symmetry = I4/mcm

Structure (POSCAR):
```
La2PrNd5Tm
1.0
-2.046 -5.430 6.642
8.553 -1.817 1.149
-2.638 9.870 1.400
Nd Tm La Pr
10 2 4 2
Direct
0.861 0.924 0.285
0.139 0.076 0.715
0.076 0.576 0.715
0.639 0.139 0.715
0.500 0.500 0.000
0.424 0.361 0.285
0.924 0.424 0.285
0.000 0.000 0.000
0.576 0.639 0.715
0.361 0.861 0.285
0.250 0.750 0.500
0.750 0.250 0.500
0.881 0.619 0.000
0.119 0.381 0.000
0.619 0.119 0.000
0.381 0.881 0.000
0.250 0.250 0.500
0.750 0.750 0.500
```